1.
First-principles (PBE-GGA) data for an optimized crystal structure of AcSm12Er5, as listed in the Alexandria database.

Calculated values
crystal system	orthorhombic

```
AcSm12Er5
1.0
-7.2471 12.6829 -4.6543
-10.3608 3.1914 -0.4204
0.4127 1.9600 4.6961
Sm Er Ac
12 5 1
direct
0.8292 0.0000 0.4998
0.6633 0.3380 0.9999
0.3357 0.0000 0.0001
0.1708 0.0000 0.5002
0.9986 0.3380 0.0001
0.5016 0.6683 0.5000
0.0014 0.6620 0.9999
0.3367 0.6620 0.0001
0.4984 0.3317 0.5000
0.1699 0.3317 0.5000
0.6643 0.0000 0.9999
0.8301 0.6683 0.5000
0.6665 0.6671 0.0000
0.8288 0.3423 0.5000
0.5000 0.0000 0.5000
0.3335 0.3329 0.0000
0.1712 0.6577 0.5000
0.0000 0.0000 0.0000
```

2.
First-principles (PBE-GGA) data for an optimized crystal structure of AcSmEr, as listed in the Alexandria database.

Calculated values
energy above the lowest structure with this stoichiometry	77	meV per atom
crystal system	trigonal

```
AcSmEr
1.0
3.5943 0.0000 0.0000
0.0000 5.8902 0.0000
0.0000 -2.9451 5.1011
Er Sm Ac
1 1 1
direct
0.1677 0.3333 0.6667
0.6665 0.6667 0.3333
0.1658 0.0000 0.0000
```

3.
First-principles (PBE-GGA) data for an optimized crystal structure of AcSm10Er6, as listed in the Alexandria database.

Calculated values
crystal system	trigonal

```
AcSm10Er6
1.0
-6.6418 -0.1331 1.8815
2.0031 -7.0029 6.5754
0.5414 9.4520 2.5797
Er Sm Ac
6 10 1
direct
0.3118 0.3719 0.0000
0.6882 0.6281 0.0000
0.3118 0.6281 0.6281
0.6882 0.3719 0.3719
0.6882 0.0000 0.6281
0.3118 0.0000 0.3719
0.8262 0.7169 0.7169
0.0000 0.6667 0.3333
0.5000 0.3333 0.6667
0.1738 0.0000 0.7169
0.8262 0.2831 0.0000
0.0000 0.3333 0.6667
0.5000 0.6667 0.3333
0.8262 0.0000 0.2831
0.1738 0.2831 0.2831
0.1738 0.7169 0.0000
0.5000 0.0000 0.0000
```

4.
First-principles (PBE-GGA) data for an optimized crystal structure of AcSm12Er3, as listed in the Alexandria database.

Calculated values
crystal system	tetragonal

```
AcSm12Er3
1.0
5.1286 0.0000 0.0000
0.0000 5.1286 0.0000
0.0000 0.0000 20.5103
Sm Ac Er
12 1 3
direct
0.5000 0.5000 0.5000
0.0000 0.5000 0.8687
0.0000 0.5000 0.1313
0.5000 0.0000 0.6229
0.5000 0.5000 0.2554
0.0000 0.5000 0.6229
0.5000 0.0000 0.3771
0.5000 0.0000 0.1313
0.5000 0.5000 0.7446
0.0000 0.5000 0.3771
0.5000 0.5000 0.0000
0.5000 0.0000 0.8687
0.0000 0.0000 0.0000
0.0000 0.0000 0.5000
0.0000 0.0000 0.7462
0.0000 0.0000 0.2538
```

Density of states at the Fermi level, respectively: 26.70; 4.37; 26.84; 24.10 states/eV per cell.
Calculated formation energy, respectively: 28; 135; 139; 25 meV per atom.